1.
This record from Alexandria via LeMat-Bulk describes BaRhCl after structural relaxation. The functional is PBE.

Results
* raw formation energy: -1005 meV per atom
* total moment: 0.529 μB/cell
* Fermi-level density of states: 0.497 states/eV/atom
* space-group type: P1

The structure in extended XYZ format:
```
6
Lattice="-3.1628 1.0313 2.5590 -3.7896 -0.6061 -1.7081 -0.5600 -11.1648 4.3438" Properties=species:S:1:pos:R:3 pbc="T T T"
Rh -3.8941 -3.3443 0.8167
Rh -2.6696 -2.9569 2.9820
Ba -4.2005 -6.0956 1.9201
Ba -2.3877 -0.1975 1.8948
Cl -2.9459 -6.8889 4.5340
Cl -4.2048 -10.5673 3.6252
```

---

2.
This record from Alexandria via LeMat-Bulk describes BaRhCl after structural relaxation. The functional is PBE.

Results
* raw formation energy: -519 meV per atom
* total moment: 0.000 μB/cell
* Fermi-level density of states: 0.317 states/eV/atom
* space-group type: P6_3/mmc

The structure in extended XYZ format:
```
6
Lattice="-4.5443 -2.3771 0.9232 3.3047 -1.9708 -3.5141 3.8943 -4.9455 6.4357" Properties=species:S:1:pos:R:3 pbc="T T T"
Rh 0.0000 0.0000 0.0000
Rh 1.9471 -2.4727 3.2179
Ba 1.6619 -3.3426 -0.4261
Ba 0.9927 -5.9508 4.2709
Cl 0.9736 -1.2364 1.6089
Cl 2.9207 -3.7091 4.8268
```

---

3.
This record from Alexandria via LeMat-Bulk describes Ba8Rh3Cl2 after structural relaxation. The functional is PBE.

Results
* raw formation energy: -675 meV per atom
* total moment: 0.050 μB/cell
* Fermi-level density of states: 0.725 states/eV/atom
* space-group type: P-1

The structure in extended XYZ format:
```
13
Lattice="7.7644 0.6428 -0.8300 -1.0564 8.2063 -3.5656 1.0412 -0.9756 8.8626" Properties=species:S:1:pos:R:3 pbc="T T T"
Ba 1.5971 2.5200 5.3616
Ba 6.1521 5.3536 -0.8946
Ba 1.2091 6.6410 3.5744
Ba 6.5401 1.2327 0.8926
Ba 1.8509 7.1521 -1.4056
Ba 2.4003 2.8712 0.4604
Ba 5.3489 5.0024 4.0066
Ba 5.8983 0.7215 5.8726
Rh 3.8670 7.5522 4.8819
Rh 7.4943 2.7382 -1.7386
Rh 0.2549 5.1354 6.2056
Cl 3.6306 5.9055 1.1414
Cl 4.1183 1.9680 3.3255
```

---

4.
This record from Alexandria via LeMat-Bulk describes Ba2RhCl after structural relaxation. The functional is PBE.

Results
* raw formation energy: -886 meV per atom
* total moment: 0.000 μB/cell
* Fermi-level density of states: 0.250 states/eV/atom
* space-group type: P4/mmm

The structure in extended XYZ format:
```
4
Lattice="-4.1167 0.3317 3.7282 -3.7409 -0.5472 -4.0820 0.0833 -3.7336 0.4242" Properties=species:S:1:pos:R:3 pbc="T T T"
Ba 0.0000 0.0000 0.0000
Ba -3.9288 -0.1077 -0.1769
Cl -2.0167 -1.7009 2.0762
Rh -1.8288 -2.1404 -1.8289
```

---

5.
This record from Alexandria via LeMat-Bulk describes Ba3RhCl2 after structural relaxation. The functional is PBE.

Results
* raw formation energy: -1331 meV per atom
* total moment: 0.021 μB/cell
* Fermi-level density of states: 0.771 states/eV/atom
* space-group type: C2/c

The structure in extended XYZ format:
```
12
Lattice="7.8060 0.1209 0.2082 -1.6039 7.8798 -0.0812 -1.6039 -3.9769 6.8031" Properties=species:S:1:pos:R:3 pbc="T T T"
Ba 6.8520 0.3551 2.6317
Ba 2.9490 2.0491 1.5089
Ba -0.8019 3.9399 -0.0406
Ba -2.2538 3.6687 4.2984
Ba 3.1010 -1.9280 3.5056
Ba 1.6492 1.9747 5.4212
Rh 0.3476 3.1054 2.7605
Rh 4.2506 0.9184 4.1695
Cl 0.3476 6.9621 0.5212
Cl 0.3476 -1.0593 5.1786
Cl 4.2506 -2.9384 6.4088
Cl 4.2506 5.0830 1.7515
```

---

6.
This record from Alexandria via LeMat-Bulk describes BaRhCl after structural relaxation. The functional is PBE.

Results
* raw formation energy: -894 meV per atom
* total moment: 0.205 μB/cell
* Fermi-level density of states: 0.454 states/eV/atom
* space-group type: Cm

The structure in extended XYZ format:
```
6
Lattice="5.0198 -0.0001 0.0007 0.0001 6.1282 0.0085 -2.5102 -0.7907 5.5665" Properties=species:S:1:pos:R:3 pbc="T T T"
Rh 1.3389 -0.0165 1.1455
Rh 3.8489 5.6876 1.5333
Ba 1.3395 4.9455 3.9528
Ba 3.8492 2.6356 1.0956
Cl 1.3391 1.8225 2.8269
Cl -1.1707 3.4439 5.2552
```

---

7.
This record from Alexandria via LeMat-Bulk describes Ba8RhCl2 after structural relaxation. The functional is PBE.

Results
* raw formation energy: -689 meV per atom
* total moment: 0.568 μB/cell
* Fermi-level density of states: 0.945 states/eV/atom
* space-group type: C2/m

The structure in extended XYZ format:
```
11
Lattice="-4.9563 4.5009 3.2489 -6.9734 -5.1209 -2.4161 -1.6492 -5.8049 6.6538" Properties=species:S:1:pos:R:3 pbc="T T T"
Ba -10.4614 -2.9352 2.2920
Ba -6.2718 -3.0845 -0.1786
Ba -11.0161 -5.6202 6.0429
Ba -2.5628 -0.8048 1.4438
Ba -7.3071 -3.3404 7.6653
Ba -3.1175 -3.4898 5.1947
Ba -6.7133 -5.5648 3.5212
Ba -6.8656 -0.8602 3.9654
Rh 0.0000 0.0000 0.0000
Cl -9.4071 -2.7522 5.3147
Cl -4.1718 -3.6727 2.1720
```

---

8.
This record from Alexandria via LeMat-Bulk describes Ba4RhCl2 after structural relaxation. The functional is PBE.

Results
* raw formation energy: -1122 meV per atom
* total moment: 0.001 μB/cell
* Fermi-level density of states: 0.561 states/eV/atom
* space-group type: C2/m

The structure in extended XYZ format:
```
7
Lattice="-3.0498 3.0815 1.2845 -5.4866 -4.0908 -3.2131 3.0924 -3.5754 7.9606" Properties=species:S:1:pos:R:3 pbc="T T T"
Rh 0.0000 0.0000 0.0000
Ba -3.9868 -3.6924 -0.6080
Ba -1.4572 -0.8923 6.6400
Ba -2.7748 -4.5830 4.4063
Ba -2.6691 -0.0017 1.6257
Cl -0.5215 -2.0439 3.6651
Cl -4.9224 -2.5408 2.3669
```

---

9.
This record from Alexandria via LeMat-Bulk describes Ba5RhCl5 after structural relaxation. The functional is PBE.

Results
* raw formation energy: -1726 meV per atom
* total moment: 1.739 μB/cell
* Fermi-level density of states: 0.546 states/eV/atom
* space-group type: C2/m

The structure in extended XYZ format:
```
11
Lattice="-0.9702 5.0878 -3.7493 -0.0661 -7.0890 -4.1505 -8.4458 0.9908 3.5300" Properties=species:S:1:pos:R:3 pbc="T T T"
Ba -2.2637 -0.5345 -5.5918
Ba -6.6696 0.0482 -3.6609
Ba -0.4851 2.5439 -1.8746
Ba -2.8124 -1.0586 -0.7088
Ba -7.2184 -0.4760 1.2220
Rh 0.0000 0.0000 0.0000
Cl -3.5413 1.1276 -3.0057
Cl -7.8726 1.7037 -1.1031
Cl -4.2229 0.4954 1.7650
Cl -1.6094 -2.7142 -3.2667
Cl -5.9407 -2.1381 -1.3641
```

---

10.
This record from Alexandria via LeMat-Bulk describes Ba2RhCl after structural relaxation. The functional is PBE.

Results
* raw formation energy: -241 meV per atom
* total moment: 0.000 μB/cell
* Fermi-level density of states: 0.055 states/eV/atom
* space-group type: F-43m

The structure in extended XYZ format:
```
4
Lattice="-1.4899 -4.7591 -2.1932 -0.4132 -4.4346 3.1373 -4.9015 -2.0988 1.1178" Properties=species:S:1:pos:R:3 pbc="T T T"
Ba 0.0000 0.0000 0.0000
Ba -1.7011 -2.8231 0.5155
Cl -3.4023 -5.6462 1.0310
Rh -5.1034 -8.4694 1.5464
```

---

11.
This record from Alexandria via LeMat-Bulk describes Ba4RhCl3 after structural relaxation. The functional is PBE.

Results
* raw formation energy: -1454 meV per atom
* total moment: 0.025 μB/cell
* Fermi-level density of states: 0.617 states/eV/atom
* space-group type: P2/c

The structure in extended XYZ format:
```
16
Lattice="7.9085 0.0097 0.0000 -2.7581 7.7998 0.0000 0.0000 0.0000 9.4955" Properties=species:S:1:pos:R:3 pbc="T T T"
Rh 5.9314 0.0073 8.2808
Rh 1.9771 0.0024 1.2146
Ba 7.0506 1.8185 6.1778
Ba 3.3051 1.7519 8.4994
Ba 3.0964 1.8137 3.3176
Ba 7.2594 1.7567 0.9960
Ba -2.1090 6.0528 8.4994
Ba 2.0540 5.9959 6.1778
Ba 1.8452 6.0577 0.9960
Ba -1.9002 5.9910 3.3176
Cl 5.9314 0.0073 3.7414
Cl 1.9771 0.0024 5.7541
Cl 4.5523 3.9072 5.6737
Cl 4.5523 3.9072 1.4089
Cl 0.5981 3.9023 3.8218
Cl 0.5981 3.9023 8.0865
```

---

12.
This record from Alexandria via LeMat-Bulk describes BaRhCl after structural relaxation. The functional is PBE.

Results
* raw formation energy: -1142 meV per atom
* total moment: 1.088 μB/cell
* Fermi-level density of states: 0.484 states/eV/atom
* space-group type: C2/m

The structure in extended XYZ format:
```
6
Lattice="-7.5148 -4.1289 -7.7600 2.7006 -2.5316 -2.5764 -1.7009 -1.5446 3.6838" Properties=species:S:1:pos:R:3 pbc="T T T"
Rh -0.9847 -4.8967 -3.1493
Rh -2.2568 -2.8140 -2.5813
Ba -2.7353 -3.9234 -5.9411
Ba -0.5066 -3.7881 0.2121
Cl -4.2880 -6.4030 -5.1306
Cl -6.4686 -5.4377 -8.3581
```